Entry from OQMD: a geometry-optimized GaAsIrO structure (GGA-PBE).

The structure in POSCAR format:
```
GaAsIrO
1.0
4.678 0.000 0.000
0.000 5.103 0.000
0.000 0.000 5.033
As Ga Ir O
2 2 2 2
Cartesian
0.000 1.705 1.940
0.000 3.398 4.456
2.339 4.048 0.175
2.339 1.055 2.691
0.000 4.238 2.122
0.000 0.865 4.638
2.339 4.305 2.075
2.339 0.798 4.592
```

Output
Uncorrected energy ... -5.68 eV/atom
ρ ... 9.75 g/cm3